ZrTcGe3 | PBE | relaxed

Summary:
Energy of formation   1192 meV/atom
SG   Pm-3m
Energy above the lowest structure with this stoichiometry   679 meV per atom
V   27.06 Å³/atom
Raw total energy   -5.362 eV/atom

abc: 5.1337 5.1337 5.1337
angles: 90.00 90.00 90.00
Closest atoms and distances in Å follow each position.
Sites, in units of the cell vectors:
Zr1 0.0000 0.0000 0.0000  6 Ge 2.57
Ge1 0.0000 0.0000 0.5000  2 Zr 2.57
Ge2 0.0000 0.5000 0.0000  2 Zr 2.57
Ge3 0.5000 0.0000 0.0000  2 Zr 2.57
Tc1 0.5000 0.5000 0.5000  12 Ge 3.63